[1]
Compound: Nd3ThIr8
Source: Alexandria
Functional: PBE
Structure: optimized geometry

Properties
DOS at the Fermi energy   0.442 states/eV per atom
Energy relative to the elements   -0.7316 eV per atom
Symmetry   No. 160

a = 9.4229 Å, b = 9.4229 Å, c = 9.4229 Å
α = 33.59°, β = 33.59°, γ = 33.59°
Positions (direct):
Nd (0.0000, 0.0000, 0.0000)
Nd (0.1241, 0.1241, 0.1241)
Nd (0.6273, 0.6273, 0.6273)
Th (0.5012, 0.5012, 0.5012)
Ir (0.0636, 0.0636, 0.5609)
Ir (0.0636, 0.5609, 0.0636)
Ir (0.0649, 0.5630, 0.5630)
Ir (0.3132, 0.3132, 0.3132)
Ir (0.5609, 0.0636, 0.0636)
Ir (0.5630, 0.0649, 0.5630)
Ir (0.5630, 0.5630, 0.0649)
Ir (0.8130, 0.8130, 0.8130)

=====

[2]
Compound: Pm2AlPdSe5
Source: Alexandria
Functional: PBE
Structure: optimized geometry

Properties
DOS at the Fermi energy   0.390 states/eV per atom
Symmetry   No. 36
Raw formation energy   -1.26 eV per atom

a = 9.2273 Å, b = 9.2273 Å, c = 11.4122 Å
α = 90.00°, β = 90.00°, γ = 155.10°
Positions (direct):
Pm (0.1071, 0.8929, 0.5000)
Pm (0.1275, 0.8725, 0.8738)
Pm (0.8725, 0.1275, 0.3738)
Pm (0.8929, 0.1071, 0.0000)
Al (0.4077, 0.5923, 0.6787)
Al (0.5923, 0.4077, 0.1787)
Pd (0.1948, 0.8052, 0.1613)
Pd (0.8052, 0.1948, 0.6613)
Se (0.0279, 0.9721, 0.2643)
Se (0.2821, 0.7179, 0.5201)
Se (0.3043, 0.6957, 0.8352)
Se (0.3566, 0.6434, 0.1836)
Se (0.4750, 0.5250, 0.4908)
Se (0.5250, 0.4750, 0.9908)
Se (0.6434, 0.3566, 0.6836)
Se (0.6957, 0.3043, 0.3352)
Se (0.7179, 0.2821, 0.0201)
Se (0.9721, 0.0279, 0.7643)